Computed, not measured: crystalline SnMo3O at its relaxed geometry at the GGA+U level of DFT. Values from VASP.

Geometry as Quantum ESPRESSO input:
```
&SYSTEM
  ibrav = 0, nat = 5, ntyp = 3
/
ATOMIC_SPECIES
Sn 118.71 Sn.upf
Mo 95.94 Mo.upf
O 16.00 O.upf
CELL_PARAMETERS angstrom
4.266 0.000 0.000
0.000 4.266 0.000
0.000 0.000 4.266
ATOMIC_POSITIONS angstrom
Sn 0.000 0.000 0.000
Mo 0.000 2.133 2.133
Mo 2.133 0.000 2.133
Mo 2.133 2.133 0.000
O 2.133 2.133 2.133
```

Output
**Calculated volume**: 77.61 Å³ per cell
**Offset from the most stable computed form**: 0.0000 eV/atom